1.
VASP calculation (PBE) on an optimized crystal structure of CdIn2As.

The space group is Pmmm (No. 47) and the conventional cell measures 3.211, 3.765 and 8.136 Å, with angles of 90.00, 90.00 and 90.00 degrees. The asymmetric unit holds Cd at (0.000, 0.000, 0.000), In at (0.500, 0.500, 0.271) and As at (0.000, 0.000, 0.500).

Its formation energy is 0.0722 eV/atom. The energy above the most stable polymorph in this dataset is 0.0680 eV per atom. Its density of states at the Fermi level is 0.7 states/eV per cell. The size of the total moment comes out at 0.00 μB/atom.

=====

2.
VASP calculation (PBE) on an optimized crystal structure of TeSe.

The space group is Fddd (No. 70, origin choice 2) and the conventional cell measures 6.223, 13.245 and 21.852 Å, with angles of 90.00, 90.00 and 90.00 degrees. The asymmetric unit holds Te at (0.125, 0.265, 0.125) and Se at (0.125, 0.125, 0.311).

The uncorrected formation energy is 0.083 eV/atom. The size of the total moment comes out at 0.00 μB/atom.

=====

3.
VASP calculation (PBE) on an optimized crystal structure of Re2PdBr.

The space group is I-42d (No. 122) and the conventional cell measures 3.798, 3.798 and 20.148 Å, with angles of 90.00, 90.00 and 90.00 degrees. The asymmetric unit holds Re at (0.192, 0.250, 0.125), Pd at (0.000, 0.000, 0.000) and Br at (0.000, 0.000, 0.500).

The uncorrected formation energy is 1.046 eV/atom. The energy above the most stable polymorph in this dataset is 0.0000 eV per atom. Its density of states at the Fermi level is 8.8 states/eV per cell. The size of the total moment comes out at 0.00 μB/atom.

=====

4.
VASP calculation (PBE) on an optimized crystal structure of DyGeO3.

The space group is P2_1/c (No. 14) and the conventional cell measures 6.388, 4.216 and 10.607 Å, with angles of 90.00, 109.95 and 90.00 degrees. The asymmetric unit holds Dy at (0.187, 0.225, 0.151), Ge at (0.341, 0.663, 0.432), O at (0.120, 0.067, 0.820), O at (0.167, 0.716, 0.028) and O at (0.439, 0.588, 0.830).

The uncorrected formation energy is -2.458 eV/atom. Its density of states at the Fermi level is 0.0 states/eV per cell. The size of the total moment comes out at 0.00 μB/atom.

=====

Look up the size of the total moment of the fourth one.
0.00 μB/atom

=====

Number 2 is which compound?
TeSe